Material: LaY2
Method: DFT, PBE-GGA
State: optimized geometry

Unit cell a=5.7237 b=5.7237 c=7.1977 alpha=90.00 beta=90.00 gamma=60.00
Atoms (fractional coordinates):
Y 0.0000 0.0000 0.0000
Y 0.3333 0.3333 0.2500
Y 0.0000 0.0000 0.5000
La 0.6667 0.6667 0.2500
La 0.3333 0.3333 0.7500
Y 0.6667 0.6667 0.7500

Values from the calculation:
As for the space group: No. 194. Its total energy is -0.216 Ha/atom. The formation energy comes out at 69 meV/atom. For the energy above the lowest structure with this stoichiometry, the calculation gives 0.163 eV/f.u.